# 1
Crystalline SnPCS2 at its relaxed geometry. Source: Alexandria via LeMat-Bulk, functional PBE.

Cell lengths 4.7482, 4.7482, 3.7531 Å; angles 90.00, 90.00, 90.00 degrees
Positions (direct):
S 0.0000 0.5000 0.0000
P 0.0000 0.0000 0.5000
C 0.0000 0.0000 0.0000
S 0.5000 0.0000 0.0000
Sn 0.5000 0.5000 0.5000

Results
The space group is No. 123. The energy above the most stable polymorph in this dataset comes out at 0.000 eV per atom.

***

# 2
Crystalline Y4In3Rh at its relaxed geometry. Source: Alexandria via LeMat-Bulk, functional PBE.

Cell lengths 3.5464, 3.5464, 15.9502 Å; angles 90.00, 90.00, 90.00 degrees
Positions (direct):
Y 0.0000 0.0000 0.6314
Y 0.0000 0.0000 0.1031
In 0.5000 0.5000 0.7620
Y 0.0000 0.0000 0.3686
Y 0.0000 0.0000 0.8969
In 0.5000 0.5000 0.2380
In 0.5000 0.5000 0.5000
Rh 0.5000 0.5000 0.0000

Results
As for the formation energy: -0.59 eV/atom. The space group is No. 123.

***

# 3
Crystalline BaRhN at its relaxed geometry. Source: Alexandria via LeMat-Bulk, functional PBE.

Cell lengths 6.0319, 6.0319, 6.0319 Å; angles 90.00, 90.00, 90.00 degrees
Positions (direct):
N 0.9129 0.0871 0.5871
Ba 0.8513 0.6487 0.3513
Ba 0.1487 0.1487 0.1487
N 0.0871 0.5871 0.9129
Rh 0.8492 0.8492 0.8492
N 0.4129 0.4129 0.4129
Rh 0.6508 0.1508 0.3492
Rh 0.3492 0.6508 0.1508
Ba 0.3513 0.8513 0.6487
Rh 0.1508 0.3492 0.6508
Ba 0.6487 0.3513 0.8513
N 0.5871 0.9129 0.0871

Results
The space group is No. 198.

***

# 4
Crystalline Sc2SnMo at its relaxed geometry. Source: Alexandria via LeMat-Bulk, functional PBE.

Cell lengths 10.4360, 10.4360, 10.4360 Å; angles 17.10, 17.10, 17.10 degrees
Positions (direct):
Sn 0.5000 0.5000 0.5000
Mo 0.0000 0.0000 0.0000
Sc 0.0848 0.0848 0.0848
Sc 0.9152 0.9152 0.9152

Results
As for the formation energy: 0.32 eV/atom. The space group is No. 166.

***

# 5
Crystalline BaCd3Pd at its relaxed geometry. Source: Alexandria via LeMat-Bulk, functional PBE.

Cell lengths 6.8405, 6.8425, 6.6458 Å; angles 90.00, 90.00, 61.25 degrees
Positions (direct):
Cd 0.9953 0.7677 0.8025
Cd 0.5652 0.1980 0.8022
Pd 0.6345 0.8376 0.0524
Cd 0.1574 0.3603 0.5524
Cd 0.5652 0.1980 0.3025
Ba 0.5167 0.7196 0.5524
Ba 0.0439 0.2461 0.0524
Cd 0.4032 0.6054 0.0524
Pd 0.9261 0.1281 0.5524
Cd 0.9953 0.7677 0.3022

Results
As for the formation energy: -0.37 eV/atom. The space group is No. 63. The energy above the most stable polymorph in this dataset comes out at 0.000 eV per atom.

***

# 6
Crystalline PmY2Ag at its relaxed geometry. Source: Alexandria via LeMat-Bulk, functional PBE.

Cell lengths 5.4308, 5.4308, 5.4308 Å; angles 60.00, 60.00, 60.00 degrees
Positions (direct):
Y 0.2500 0.2500 0.2500
Pm 0.0000 0.0000 0.0000
Y 0.7500 0.7500 0.7500
Ag 0.5000 0.5000 0.5000

Results
As for the formation energy: 0.10 eV/atom. The space group is No. 225. The energy above the most stable polymorph in this dataset comes out at 0.235 eV per atom.

***

For each record above, in turn, the calculated total energy values are -4.41, -5.77, -5.92, -6.55, -2.34, -5.04 eV per atom.
For each record above, in turn, the calculated M_tot values are 0.000, 0.000, 0.000, 0.000, 0.000, 0.003 μB/f.u..